Ba2CaOs: optimized geometry, GGA-PBE.

Calculated values
**Energy above the most stable polymorph in this dataset**: 0.2799 eV/atom
**Density**: 6.8 g cm⁻³
**Magnetic moment**: 0.00 Bohr magnetons per cell

The structure in CIF format:
```
data_Ba2CaOs
_chemical_formula_sum 'Ba8 Ca4 Os4'
_cell_length_a 7.8940
_cell_length_b 7.8940
_cell_length_c 7.8940
_cell_angle_alpha 90.00
_cell_angle_beta 90.00
_cell_angle_gamma 90.00
_symmetry_space_group_name_H-M 'F -4 3 m'
_symmetry_Int_Tables_number 216
_symmetry_space_group_name_Hall 'F -4 2 3'
loop_
_atom_site_label
_atom_site_type_symbol
_atom_site_fract_x
_atom_site_fract_y
_atom_site_fract_z
_atom_site_occupancy
Ba1 Ba 0.0000 0.0000 0.0000 1
Ba2 Ba 0.2500 0.2500 0.2500 1
Ca1 Ca 0.0000 0.0000 0.5000 1
Os1 Os 0.2500 0.2500 0.7500 1
```